# 1
The following is a PBE calculation of a relaxed CsCd2S crystal, from Alexandria.

Unit cell a=7.257 b=7.257 c=7.257 alpha=102.14 beta=102.14 gamma=125.40
Fractional positions:
Cs 0.000 0.000 0.000
Cs 0.750 0.250 0.500
Cd 0.212 0.625 0.087
Cd 0.375 0.462 0.587
Cd 0.538 0.125 0.913
Cd 0.875 0.788 0.413
S 0.250 0.750 0.500
S 0.500 0.500 0.000

Values from the calculation:
As for the space group: I-42d (122). As for the spin magnetization: 0.000 μB per formula unit. The total energy is -7.6 eV per formula unit.

=====

# 2
The following is a PBE calculation of a relaxed Sm3CdB crystal, from Alexandria.

Unit cell a=5.164 b=5.164 c=5.164 alpha=90.00 beta=90.00 gamma=90.00
Fractional positions:
Sm 0.000 0.000 0.500
Sm 0.000 0.500 0.000
Sm 0.500 0.000 0.000
Cd 0.500 0.500 0.500
B 0.000 0.000 0.000

Values from the calculation:
As for the formation energy: -0.0419 eV/atom. As for the space group: Pm-3m (221). As for the spin magnetization: 0.742 μB per formula unit. The total energy is -22.0 eV per formula unit.

=====

# 3
The following is a PBE calculation of a relaxed DyCu2Ni crystal, from Alexandria.

Unit cell a=5.110 b=5.110 c=5.110 alpha=47.60 beta=47.60 gamma=47.60
Fractional positions:
Dy 0.000 0.000 0.000
Cu 0.205 0.205 0.205
Cu 0.795 0.795 0.795
Ni 0.500 0.500 0.500

Values from the calculation:
As for the formation energy: -0.1898 eV/atom. As for the space group: R-3m (166). As for the spin magnetization: 0.000 μB per formula unit. The total energy is -19.3 eV per formula unit.